Record 1
This record from the Open Quantum Materials Database describes crystalline PuFe at its relaxed geometry. The functional is PBE-GGA.

energy relative to the elements = 689 meV per atom

a b c (Å): 4.1318 4.1318 5.0774
angles (deg): 90.00 90.00 120.00
With the nearest neighbours (Å) after each atom.
Fractional positions:
Pu 0.3333 0.6667 0.2500  5 Fe 2.39-2.54
Pu 0.6667 0.3333 0.7500  5 Fe 2.39-2.54
Fe 0.3333 0.6667 0.7500  5 Pu 2.39-2.54
Fe 0.6667 0.3333 0.2500  5 Pu 2.39-2.54



Record 2
This record from the Open Quantum Materials Database describes crystalline PuFe3 at its relaxed geometry. The functional is PBE-GGA.

energy relative to the elements = 269 meV per atom

a b c (Å): 5.1794 5.1794 4.2701
angles (deg): 90.00 90.00 120.00
With the nearest neighbours (Å) after each atom.
Fractional positions:
Pu 0.3333 0.6667 0.2500  12 Fe 2.59-2.62
Pu 0.6667 0.3333 0.7500  12 Fe 2.59-2.62
Fe 0.1632 0.3264 0.7500  8 Fe 2.54-2.64, 4 Pu 2.59-2.62
Fe 0.1632 0.8368 0.7500  8 Fe 2.54-2.64, 4 Pu 2.59-2.62
Fe 0.3264 0.1632 0.2500  8 Fe 2.54-2.64, 4 Pu 2.59-2.62
Fe 0.6736 0.8368 0.7500  8 Fe 2.54-2.64, 4 Pu 2.59-2.62
Fe 0.8368 0.1632 0.2500  8 Fe 2.54-2.64, 4 Pu 2.59-2.62
Fe 0.8368 0.6736 0.2500  8 Fe 2.54-2.64, 4 Pu 2.59-2.62



Record 3
This record from the Open Quantum Materials Database describes crystalline PuFe at its relaxed geometry. The functional is PBE-GGA.

energy relative to the elements = 827 meV per atom

a b c (Å): 3.8162 3.8162 3.8162
angles (deg): 60.00 60.00 60.00
With the nearest neighbours (Å) after each atom.
Fractional positions:
Pu 0.0000 0.0000 0.0000  4 Fe 2.34
Fe 0.2500 0.2500 0.2500  4 Pu 2.34



Record 4
This record from the Open Quantum Materials Database describes crystalline PuFe2 at its relaxed geometry. The functional is PBE-GGA.

energy relative to the elements = 1251 meV per atom

a b c (Å): 4.7064 4.7064 4.3614
angles (deg): 90.00 90.00 90.00
With the nearest neighbours (Å) after each atom.
Fractional positions:
Pu 0.0000 0.0000 0.0000  2 Fe 2.13
Pu 0.5000 0.5000 0.5000  2 Fe 2.13
Fe 0.1802 0.1802 0.5000  1 Pu 2.13
Fe 0.3198 0.6802 0.0000  1 Pu 2.13
Fe 0.6802 0.3198 0.0000  1 Pu 2.13
Fe 0.8198 0.8198 0.5000  1 Pu 2.13



Record 5
This record from the Open Quantum Materials Database describes crystalline PuFe3 at its relaxed geometry. The functional is PBE-GGA.

energy relative to the elements = 539 meV per atom

a b c (Å): 4.1555 4.1555 4.1555
angles (deg): 60.00 60.00 60.00
With the nearest neighbours (Å) after each atom.
Fractional positions:
Pu 0.0000 0.0000 0.0000  8 Fe 2.54
Fe 0.2500 0.2500 0.2500  4 Fe 2.54, 4 Pu 2.54
Fe 0.5000 0.5000 0.5000  8 Fe 2.54
Fe 0.7500 0.7500 0.7500  4 Fe 2.54, 4 Pu 2.54



Record 6
This record from the Open Quantum Materials Database describes crystalline PuFe at its relaxed geometry. The functional is PBE-GGA.

energy relative to the elements = 236 meV per atom

a b c (Å): 3.5856 3.5856 3.5856
angles (deg): 60.00 60.00 60.00
With the nearest neighbours (Å) after each atom.
Fractional positions:
Pu 0.0000 0.0000 0.0000  6 Fe 2.54
Fe 0.5000 0.5000 0.5000  6 Pu 2.54



Record 7
This record from the Open Quantum Materials Database describes crystalline PuFe at its relaxed geometry. The functional is PBE-GGA.

energy relative to the elements = 435 meV per atom

a b c (Å): 2.8246 2.8246 4.5562
angles (deg): 90.00 90.00 120.00
With the nearest neighbours (Å) after each atom.
Fractional positions:
Pu 0.0000 0.0000 0.0000  6 Fe 2.80, 6 Pu 2.82
Fe 0.3333 0.6667 0.5000  6 Pu 2.80, 6 Fe 2.82



Record 8
This record from the Open Quantum Materials Database describes crystalline PuThFe at its relaxed geometry. The functional is PBE-GGA.

energy relative to the elements = 791 meV per atom
distance to the lowest polymorph of the same formula = 0.000 eV/atom

a b c (Å): 4.5150 4.5150 4.5150
angles (deg): 60.00 60.00 60.00
With the nearest neighbours (Å) after each atom.
Fractional positions:
Pu 0.0000 0.0000 0.0000  4 Fe 2.76
Th 0.5000 0.5000 0.5000  4 Fe 2.76
Fe 0.2500 0.2500 0.2500  4 Th 2.76, 4 Pu 2.76



> What is the energy relative to the elements in the fourth record?

1251 meV per atom



> Number 2 is which compound?

PuFe3



> Look up the energy relative to the elements of the first one.

689 meV per atom



Please write out number 7 again, unchanged.
This record from the Open Quantum Materials Database describes crystalline PuFe at its relaxed geometry. The functional is PBE-GGA.

energy relative to the elements = 435 meV per atom

a b c (Å): 2.8246 2.8246 4.5562
angles (deg): 90.00 90.00 120.00
With the nearest neighbours (Å) after each atom.
Fractional positions:
Pu 0.0000 0.0000 0.0000  6 Fe 2.80, 6 Pu 2.82
Fe 0.3333 0.6667 0.5000  6 Pu 2.80, 6 Fe 2.82